1.
Material: Al4Tl
Method: DFT, PBE-GGA
State: relaxed

Lattice parameters (Å, degrees): 6.7481 6.7481 4.2947 90.00 90.00 90.00
With the nearest neighbours (Å) after each atom.
Space group I4/m (No. 87)
Symmetry-distinct sites (fractional):
Al  0.0878  0.3097  0.0000 x8  7 Al 2.83-3.07, 3 Tl 3.05-3.06
Tl  0.0000  0.0000  0.5000 x2  12 Al 3.05-3.06

offset from the most stable computed form = 0.00 eV/f.u.
energy of formation = 0.2320 eV/atom
N(E_F) = 3.8 states/eV per cell

***

2.
Material: YBi2Pd8
Method: DFT, PBE-GGA
State: relaxed

Lattice parameters (Å, degrees): 7.7833 13.0065 5.1174 90.00 126.23 90.00
With the nearest neighbours (Å) after each atom.
Space group C2/m (No. 12)
Symmetry-distinct sites (fractional):
Y  0.0000  0.0000  0.0000 x2  8 Pd 2.83-3.01
Bi  0.0000  0.3088  0.5000 x4  8 Pd 2.82-2.90
Pd  0.0000  0.2179  0.0000 x4  2 Bi 2.82, 1 Y 2.83, 4 Pd 2.91-2.95
Pd  0.0712  0.5000  0.8112 x4  6 Pd 2.68-2.81, 2 Bi 2.83, 1 Y 2.87
Pd  0.2095  0.1132  0.6315 x8  6 Pd 2.69-2.95, 2 Bi 2.88-2.90, 1 Y 3.01

energy of formation = -0.3278 eV/atom
N(E_F) = 12.0 states/eV per cell

***

3.
Material: Dy6Er12Pb
Method: DFT, PBE-GGA
State: relaxed

Lattice parameters (Å, degrees): 11.7326 11.7326 14.8903 90.00 90.00 120.00
With the nearest neighbours (Å) after each atom.
Space group R-3 (No. 148, hexagonal axes)
Symmetry-distinct sites (fractional):
Dy  0.0133  0.4248  0.1815 x18  7 Er 3.23-3.60, 1 Pb 3.40, 2 Dy 3.42
Er  0.0060  0.8270  0.6884 x18  4 Dy 3.38-3.60, 5 Er 3.41-3.78, 1 Pb 3.48
Er  0.0415  0.8487  0.9162 x18  3 Dy 3.23-3.43, 6 Er 3.24-3.57
Pb  0.0000  0.0000  0.5000 x3  6 Dy 3.40, 6 Er 3.48

energy of formation = 0.0663 eV/atom
N(E_F) = 76.7 states/eV per cell

***

4.
Material: DyPaAs2
Method: DFT, PBE-GGA
State: relaxed

Lattice parameters (Å, degrees): 5.8010 5.8010 11.6136 90.00 90.00 90.00
With the nearest neighbours (Å) after each atom.
Space group I4_1/amd (No. 141, origin choice 2)
Symmetry-distinct sites (fractional):
Dy  0.0000  0.2500  0.3750 x4  6 As 2.90-2.92
Pa  0.0000  0.2500  0.8750 x4  6 As 2.89-2.90
As  0.0000  0.2500  0.1239 x8  3 Pa 2.89-2.90, 3 Dy 2.90-2.92

offset from the most stable computed form = 0.00 eV/f.u.
energy of formation = -1.2827 eV/atom
N(E_F) = 18.9 states/eV per cell

***

5.
Material: Cr3C
Method: DFT, PBE-GGA
State: relaxed

Lattice parameters (Å, degrees): 3.8807 4.5211 4.5072 90.00 90.00 90.00
With the nearest neighbours (Å) after each atom.
Space group Pmmn (No. 59, origin choice 2)
Symmetry-distinct sites (fractional):
Cr  0.2500  0.0014  0.1741 x4  7 Cr 2.25-2.50, 3 C 2.31-2.43
Cr  0.2500  0.7500  0.6419 x2  4 C 2.26-2.28, 6 Cr 2.39-2.40
C  0.2500  0.2500  0.6224 x2  10 Cr 2.26-2.43

offset from the most stable computed form = 2.70 eV/f.u.
energy of formation = 0.5819 eV/atom
N(E_F) = 6.6 states/eV per cell

***

6.
Material: TiFe2I6
Method: DFT, PBE-GGA
State: relaxed

Lattice parameters (Å, degrees): 13.9871 12.5371 7.5093 90.00 100.07 90.00
With the nearest neighbours (Å) after each atom.
Space group C2/c (No. 15)
Symmetry-distinct sites (fractional):
Ti  0.0000  0.0952  0.2500 x4  6 I 2.79-2.97
Fe  0.1924  0.4156  0.3239 x8  4 I 2.60-2.71
I  0.1107  0.0802  0.6157 x8  1 Fe 2.71, 2 Ti 2.91-2.97
I  0.1246  0.2442  0.1361 x8  1 Fe 2.65, 1 Ti 2.79
I  0.1284  0.4189  0.6288 x8  2 Fe 2.60-2.61

E_form (uncorrected) = -2.0 eV/f.u.
N(E_F) = 77.6 states/eV per cell

***

7.
Material: AcCe2Sn2
Method: DFT, PBE-GGA
State: relaxed

Lattice parameters (Å, degrees): 5.1354 5.1354 13.9401 90.00 90.00 120.00
With the nearest neighbours (Å) after each atom.
Space group P6_3/mmc (No. 194)
Symmetry-distinct sites (fractional):
Ac  0.3333  0.6667  0.2500 x2  6 Sn 3.48, 2 Ce 3.80
Ce  0.3333  0.6667  0.5227 x4  3 Ce 3.03, 3 Sn 3.25
Sn  0.0000  0.0000  0.1189 x4  6 Ce 3.25-3.56, 1 Sn 3.31, 3 Ac 3.48

energy of formation = -0.4602 eV/atom
N(E_F) = 23.7 states/eV per cell

***

8.
Material: Rb2MgBI6
Method: DFT, PBE-GGA
State: relaxed

Lattice parameters (Å, degrees): 8.0225 8.0225 11.3988 90.00 90.00 90.00
With the nearest neighbours (Å) after each atom.
Space group I4/mmm (No. 139)
Symmetry-distinct sites (fractional):
Rb  0.0000  0.5000  0.2500 x4  12 I 4.01-4.02
Mg  0.0000  0.0000  0.0000 x2  6 I 2.95-2.97
B  0.0000  0.0000  0.5000 x2  6 I 2.70-2.75
I  0.0000  0.0000  0.2587 x4  1 B 2.75, 1 Mg 2.95
I  0.2381  0.2381  0.5000 x8  1 B 2.70, 1 Mg 2.97

E_form (uncorrected) = -5.4 eV/f.u.
N(E_F) = 6.4 states/eV per cell

***

9.
Material: Y2Ni
Method: DFT, PBE-GGA
State: relaxed

Lattice parameters (Å, degrees): 8.5288 8.5288 8.5288 90.00 90.00 90.00
With the nearest neighbours (Å) after each atom.
Space group Fd-3m (No. 227, origin choice 2)
Symmetry-distinct sites (fractional):
Y  0.0000  0.0000  0.0000 x16  6 Y 3.02
Ni  0.1250  0.1250  0.6250 x8  12 Y 3.54, 4 Ni 3.69

energy of formation = 0.9169 eV/atom
N(E_F) = 41.8 states/eV per cell

***

10.
Material: SrPW2
Method: DFT, PBE-GGA
State: relaxed

Lattice parameters (Å, degrees): 3.9218 3.9218 10.3205 90.00 90.00 90.00
With the nearest neighbours (Å) after each atom.
Space group I4/mmm (No. 139)
Symmetry-distinct sites (fractional):
Sr  0.0000  0.0000  0.0000 x2  4 P 2.77
P  0.0000  0.0000  0.5000 x2  4 Sr 2.77
W  0.0000  0.5000  0.2500 x4  4 W 2.77

energy of formation = 1.0162 eV/atom
N(E_F) = 7.3 states/eV per cell

***

11.
Material: MnTlGe3
Method: DFT, PBE-GGA
State: relaxed

Lattice parameters (Å, degrees): 4.7199 4.7199 4.7199 90.00 90.00 90.00
With the nearest neighbours (Å) after each atom.
Space group Pm-3m (No. 221)
Symmetry-distinct sites (fractional):
Mn  0.0000  0.0000  0.0000 x1  6 Ge 2.36
Tl  0.5000  0.5000  0.5000 x1  12 Ge 3.34
Ge  0.0000  0.0000  0.5000 x3  2 Mn 2.36

offset from the most stable computed form = 0.00 eV/f.u.
energy of formation = 0.1812 eV/atom
N(E_F) = 3.9 states/eV per cell

***

12.
Material: RbTl2Pb3
Method: DFT, PBE-GGA
State: relaxed

Lattice parameters (Å, degrees): 16.7184 10.1805 5.2244 90.00 108.02 90.00
With the nearest neighbours (Å) after each atom.
Space group C2/m (No. 12)
Symmetry-distinct sites (fractional):
Rb  0.1320  0.0000  0.1312 x4  8 Pb 3.69-4.05, 6 Tl 3.71-3.84
Tl  0.0000  0.1572  0.5000 x4  4 Pb 3.15-3.21, 1 Tl 3.20
Tl  0.1914  0.5000  0.1919 x4  8 Pb 3.37-3.62
Pb  0.0000  0.3404  0.0000 x4  4 Tl 3.21-3.45, 1 Pb 3.25
Pb  0.1785  0.2914  0.6778 x8  3 Tl 3.15-3.38

energy of formation = 0.0177 eV/atom
N(E_F) = 14.9 states/eV per cell